DFT (PBE) results for KTa2In after structural relaxation.

Results
- Energy: -5.6111 eV/atom
- Energy of formation from the pure elements: 1.27 eV per atom

Unit cell a=4.253 b=4.253 c=4.980 alpha=90.00 beta=90.00 gamma=90.00
Space group P4/mmm (No. 123)
Unique sites:
K 0.000 0.000 0.000 (multiplicity 1)
Ta 0.000 0.500 0.500 (multiplicity 2)
In 0.500 0.500 0.000 (multiplicity 1)